No. 1
## Ca2InHg5 (PBE-GGA)

Data for a relaxed Ca2InHg5 crystal.

## Properties
Crystal system ... orthorhombic
Space group ... Pbam
Calculated formation energy ... -2.86 eV/f.u.

a = 6.534 Å, b = 13.337 Å, c = 4.741 Å
α = 90.00°, β = 90.00°, γ = 90.00°
Positions (direct):
1 Ca 0.229 0.130 0.000
2 Ca 0.271 0.630 0.000
3 Ca 0.729 0.370 0.000
4 Ca 0.771 0.870 0.000
5 In 0.000 0.500 0.500
6 In 0.500 0.000 0.500
7 Hg 0.000 0.000 0.500
8 Hg 0.018 0.747 0.500
9 Hg 0.232 0.380 0.000
10 Hg 0.268 0.880 0.000
11 Hg 0.482 0.247 0.500
12 Hg 0.500 0.500 0.500
13 Hg 0.518 0.753 0.500
14 Hg 0.732 0.120 0.000
15 Hg 0.768 0.620 0.000
16 Hg 0.982 0.253 0.500


No. 2
## CaIn3Hg (PBE-GGA)

Data for a relaxed CaIn3Hg crystal.

## Properties
Crystal system ... cubic
Space group ... Pm-3m
Polymorph energy (0 for the lowest one) ... 420 meV/atom
Calculated formation energy ... 0.88 eV/f.u.

a = 5.577 Å, b = 5.577 Å, c = 5.577 Å
α = 90.00°, β = 90.00°, γ = 90.00°
Positions (direct):
1 Ca 0.000 0.000 0.000
2 In 0.000 0.500 0.500
3 In 0.500 0.000 0.500
4 In 0.500 0.500 0.000
5 Hg 0.500 0.500 0.500


No. 3
## CaIn2Hg (PBE-GGA)

Data for a relaxed CaIn2Hg crystal.

## Properties
Crystal system ... trigonal
Space group ... R3m
Calculated formation energy ... -0.67 eV/f.u.

a = 3.625 Å, b = 3.625 Å, c = 29.690 Å
α = 90.00°, β = 90.00°, γ = 120.00°
Positions (direct):
1 Ca 0.000 0.000 0.000
2 Ca 0.333 0.667 0.667
3 Ca 0.667 0.333 0.333
4 In 0.000 0.000 0.506
5 In 0.000 0.000 0.755
6 In 0.333 0.667 0.173
7 In 0.333 0.667 0.421
8 In 0.667 0.333 0.088
9 In 0.667 0.333 0.840
10 Hg 0.000 0.000 0.254
11 Hg 0.333 0.667 0.920
12 Hg 0.667 0.333 0.587


No. 4
## CaIn4Hg (PBE-GGA)

Data for a relaxed CaIn4Hg crystal.

## Properties
Crystal system ... cubic
Space group ... F-43m
Polymorph energy (0 for the lowest one) ... 88 meV/atom
Calculated formation energy ... -0.68 eV/f.u.

a = 6.200 Å, b = 6.200 Å, c = 6.200 Å
α = 60.00°, β = 60.00°, γ = 60.00°
Positions (direct):
1 Ca 0.000 0.000 0.000
2 In 0.375 0.375 0.375
3 In 0.375 0.375 0.875
4 In 0.375 0.875 0.375
5 In 0.875 0.375 0.375
6 Hg 0.750 0.750 0.750


No. 5
## CaIn2Hg (PBE-GGA)

Data for a relaxed CaIn2Hg crystal.

## Properties
Crystal system ... trigonal
Space group ... R-3m
Calculated formation energy ... -0.47 eV/f.u.

a = 3.630 Å, b = 3.630 Å, c = 29.487 Å
α = 90.00°, β = 90.00°, γ = 120.00°
Positions (direct):
1 Ca 0.000 0.000 0.000
2 Ca 0.333 0.667 0.667
3 Ca 0.667 0.333 0.333
4 In 0.000 0.000 0.245
5 In 0.000 0.000 0.755
6 In 0.333 0.667 0.422
7 In 0.333 0.667 0.911
8 In 0.667 0.333 0.089
9 In 0.667 0.333 0.578
10 Hg 0.000 0.000 0.500
11 Hg 0.333 0.667 0.167
12 Hg 0.667 0.333 0.833


No. 6
## Ca3InHg (PBE-GGA)

Data for a relaxed Ca3InHg crystal.

## Properties
Crystal system ... orthorhombic
Space group ... Cmcm
Polymorph energy (0 for the lowest one) ... 0 meV/atom
Calculated formation energy ... -2.12 eV/f.u.

a = 10.663 Å, b = 10.663 Å, c = 5.470 Å
α = 90.00°, β = 90.00°, γ = 150.28°
Positions (direct):
1 Ca 0.069 0.931 0.750
2 Ca 0.250 0.750 0.750
3 Ca 0.430 0.570 0.750
4 Ca 0.570 0.430 0.250
5 Ca 0.750 0.250 0.250
6 Ca 0.931 0.069 0.250
7 In 0.156 0.844 0.250
8 In 0.844 0.156 0.750
9 Hg 0.345 0.655 0.250
10 Hg 0.655 0.345 0.750


No. 7
## CaIn5Hg8 (PBE-GGA)

Data for a relaxed CaIn5Hg8 crystal.

## Properties
Crystal system ... monoclinic
Space group ... C2
Polymorph energy (0 for the lowest one) ... 3 meV/atom
Calculated formation energy ... -1.12 eV/f.u.

a = 7.459 Å, b = 7.459 Å, c = 9.004 Å
α = 119.37°, β = 119.37°, γ = 72.64°
Positions (direct):
1 Ca 0.000 0.000 0.000
2 In 0.037 0.344 0.823
3 In 0.254 0.746 0.500
4 In 0.487 0.238 0.532
5 In 0.656 0.963 0.177
6 In 0.762 0.513 0.468
7 Hg 0.069 0.137 0.423
8 Hg 0.251 0.610 0.783
9 Hg 0.334 0.329 0.188
10 Hg 0.390 0.749 0.217
11 Hg 0.510 0.159 0.857
12 Hg 0.671 0.666 0.812
13 Hg 0.841 0.490 0.143
14 Hg 0.863 0.931 0.577


No. 8
## Ca6InHg2 (PBE-GGA)

Data for a relaxed Ca6InHg2 crystal.

## Properties
Crystal system ... orthorhombic
Space group ... Immm
Calculated formation energy ... -3.33 eV/f.u.

a = 9.172 Å, b = 9.172 Å, c = 9.172 Å
α = 113.34°, β = 110.59°, γ = 104.61°
Positions (direct):
1 Ca 0.055 0.246 0.809
2 Ca 0.180 0.283 0.464
3 Ca 0.180 0.717 0.897
4 Ca 0.337 0.044 0.707
5 Ca 0.337 0.630 0.293
6 Ca 0.438 0.246 0.191
7 Ca 0.562 0.754 0.809
8 Ca 0.663 0.370 0.707
9 Ca 0.663 0.956 0.293
10 Ca 0.820 0.283 0.103
11 Ca 0.820 0.717 0.536
12 Ca 0.945 0.754 0.191
13 In 0.000 0.000 0.000
14 In 0.500 0.500 0.000
15 Hg 0.138 0.638 0.500
16 Hg 0.333 0.000 0.333
17 Hg 0.667 0.000 0.667
18 Hg 0.862 0.362 0.500


Let's list magnetic moment in order: 0.00 0.00 0.00 0.00 0.00 0.00 0.00 0.00 μB per formula unit.